*w*
Material: YZr3Cr
Method: DFT, PBE
State: optimized geometry

The structure in POSCAR format:
```
YZr3Cr
1.0
5.177 0.000 0.000
0.000 5.177 0.000
0.000 0.000 5.177
Y Zr Cr
1 3 1
direct
0.000 0.000 0.000
0.000 0.000 0.500
0.000 0.500 0.000
0.500 0.000 0.000
0.500 0.500 0.500
```

Computed properties:
Its total moment is 2.91 μB/f.u. Its space group is Pm-3m. As for the crystal system: cubic.

*x*
Material: YZr3Cr
Method: DFT, PBE
State: optimized geometry

The structure in POSCAR format:
```
YZr3Cr
1.0
4.973 0.000 0.000
0.000 4.973 0.000
0.000 0.000 4.973
Y Zr Cr
1 3 1
direct
0.000 0.000 0.000
0.000 0.500 0.500
0.500 0.000 0.500
0.500 0.500 0.000
0.500 0.500 0.500
```

Computed properties:
Its total moment is 0.00 μB/f.u. Its space group is Pm-3m. As for the crystal system: cubic.

Most favorable structure: *x*. The second most favorable one is 1285 meV per atom above it.

*w*
Material: ZnCr4
Method: DFT, PBE
State: optimized geometry

The structure in POSCAR format:
```
ZnCr4
1.0
-2.727 2.727 2.043
2.727 -2.727 2.043
2.727 2.727 -2.043
Zn Cr
1 4
direct
0.000 0.000 0.000
0.207 0.418 0.625
0.418 0.793 0.212
0.582 0.207 0.788
0.793 0.582 0.375
```

Computed properties:
Its total moment is 0.00 μB/f.u. Its space group is I4/m. As for the crystal system: tetragonal.

*x*
Material: ZnCr4
Method: DFT, PBE
State: optimized geometry

The structure in POSCAR format:
```
ZnCr4
1.0
4.763 0.000 0.000
0.000 4.763 0.000
0.000 0.000 4.763
Zn Cr
1 4
direct
0.000 0.000 0.000
0.000 0.000 0.500
0.000 0.500 0.000
0.500 0.000 0.000
0.500 0.500 0.500
```

Computed properties:
Its total moment is 17.11 μB/f.u. Its space group is Pm-3m. As for the crystal system: cubic.

*y*
Material: ZnCr4
Method: DFT, PBE
State: optimized geometry

The structure in POSCAR format:
```
ZnCr4
1.0
-1.878 1.878 4.916
1.878 -1.878 4.916
1.878 1.878 -4.916
Zn Cr
1 4
direct
0.000 0.000 0.000
0.250 0.750 0.500
0.383 0.383 0.000
0.617 0.617 0.000
0.750 0.250 0.500
```

Computed properties:
Its total moment is 0.56 μB/f.u. Its space group is I4/mmm. As for the crystal system: tetragonal.

Most favorable structure: *w*. The second most favorable one is 410 meV per atom above it.

*w*
Material: ZrZn2Cr
Method: DFT, PBE
State: optimized geometry

The structure in POSCAR format:
```
ZrZn2Cr
1.0
-1.996 1.996 4.034
1.996 -1.996 4.034
1.996 1.996 -4.034
Zr Zn Cr
1 2 1
direct
0.000 0.000 0.000
0.250 0.750 0.500
0.750 0.250 0.500
0.500 0.500 0.000
```

Computed properties:
Its total moment is 1.60 μB/f.u. Its space group is I4/mmm. As for the crystal system: tetragonal.

*x*
Material: ZrZn2Cr
Method: DFT, PBE
State: optimized geometry

The structure in POSCAR format:
```
ZrZn2Cr
1.0
2.786 -3.888 0.000
2.786 3.888 0.000
0.000 0.000 3.056
Zr Zn Cr
1 2 1
direct
0.000 0.000 0.000
0.000 0.500 0.500
0.500 0.000 0.500
0.500 0.500 0.000
```

Computed properties:
Its total moment is 2.30 μB/f.u. Its space group is Cmmm. As for the crystal system: orthorhombic.

Most favorable structure: *w*. The second most favorable one is 101 meV per atom above it.

*w*
Material: ZrZn2Cr
Method: DFT, PBE
State: optimized geometry

The structure in POSCAR format:
```
ZrZn2Cr
1.0
4.790 -1.580 0.000
4.790 1.580 0.000
-1.752 0.000 4.348
Zr Zn Cr
1 2 1
direct
0.000 0.000 0.000
0.230 0.230 0.673
0.497 0.497 0.500
0.756 0.756 0.194
```

Computed properties:
Its total moment is 2.19 μB/f.u. Its space group is Cm. As for the crystal system: monoclinic.

*x*
Material: ZrZn2Cr
Method: DFT, PBE
State: optimized geometry

The structure in POSCAR format:
```
ZrZn2Cr
1.0
-1.899 1.899 9.881
1.899 -1.899 9.881
1.899 1.899 -9.881
Zr Zn Cr
2 4 2
direct
0.000 0.000 0.000
0.750 0.250 0.500
0.147 0.625 0.022
0.375 0.397 0.522
0.603 0.125 0.978
0.875 0.853 0.478
0.250 0.750 0.500
0.500 0.500 0.000
```

Computed properties:
Its total moment is 2.36 μB/f.u. Its space group is I-42d. As for the crystal system: tetragonal.

*y*
Material: ZrZn2Cr
Method: DFT, PBE
State: optimized geometry

The structure in POSCAR format:
```
ZrZn2Cr
1.0
4.126 0.000 0.000
0.000 1.531 5.348
0.000 -1.531 5.348
Zr Zn Cr
1 2 1
direct
0.000 0.000 0.000
0.000 0.254 0.254
0.500 0.384 0.384
0.500 0.654 0.654
```

Computed properties:
Its total moment is 2.75 μB/f.u. Its space group is Amm2. As for the crystal system: orthorhombic.

Most favorable structure: *y*. The second most favorable one is 17 meV per atom above it.

*w*
Material: ZrZn2Cr
Method: DFT, PBE
State: optimized geometry

The structure in POSCAR format:
```
ZrZn2Cr
1.0
1.400 0.809 9.379
-1.400 0.809 9.379
0.000 -1.617 9.379
Zr Zn Cr
1 2 1
direct
0.000 0.000 0.000
0.241 0.241 0.241
0.759 0.759 0.759
0.500 0.500 0.500
```

Computed properties:
Its total moment is 0.00 μB/f.u. Its space group is R-3m. As for the crystal system: trigonal.

*x*
Material: ZrZn2Cr
Method: DFT, PBE
State: optimized geometry

The structure in POSCAR format:
```
ZrZn2Cr
1.0
0.000 3.232 3.232
3.232 0.000 3.232
3.232 3.232 0.000
Zr Zn Cr
1 2 1
direct
0.000 0.000 0.000
0.250 0.250 0.250
0.500 0.500 0.500
0.750 0.750 0.750
```

Computed properties:
Its total moment is 4.18 μB/f.u. Its space group is F-43m. As for the crystal system: cubic.

Most favorable structure: *x*. The second most favorable one is 117 meV per atom above it.

*w*
Material: ZrCr5
Method: DFT, PBE
State: optimized geometry

The structure in POSCAR format:
```
ZrCr5
1.0
0.000 3.456 3.456
3.456 0.000 3.456
3.456 3.456 0.000
Zr Cr
1 5
direct
0.000 0.000 0.000
0.375 0.375 0.375
0.375 0.375 0.875
0.375 0.875 0.375
0.750 0.750 0.750
0.875 0.375 0.375
```

Computed properties:
Its total moment is 1.04 μB/f.u. Its space group is F-43m. As for the crystal system: cubic.

*x*
Material: ZrCr5
Method: DFT, PBE
State: optimized geometry

The structure in POSCAR format:
```
ZrCr5
1.0
1.487 -6.269 0.000
1.487 6.269 0.000
0.000 0.000 4.265
Zr Cr
1 5
direct
0.000 0.000 0.000
0.171 0.829 0.500
0.321 0.679 0.000
0.500 0.500 0.500
0.679 0.321 0.000
0.829 0.171 0.500
```

Computed properties:
Its total moment is 0.00 μB/f.u. Its space group is Cmmm. As for the crystal system: orthorhombic.

*y*
Material: ZrCr5
Method: DFT, PBE
State: optimized geometry

The structure in POSCAR format:
```
ZrCr5
1.0
4.712 -1.479 0.000
4.712 1.479 0.000
-1.938 0.000 5.704
Zr Cr
1 5
direct
0.000 0.000 0.000
0.000 0.000 0.500
0.322 0.322 0.648
0.330 0.330 0.184
0.670 0.670 0.816
0.678 0.678 0.352
```

Computed properties:
Its total moment is 0.00 μB/f.u. Its space group is C2/m. As for the crystal system: monoclinic.

Most favorable structure: *w*. The second most favorable one is 40 meV per atom above it.

*w*
Material: Zr4Cr
Method: DFT, PBE
State: optimized geometry

The structure in POSCAR format:
```
Zr4Cr
1.0
-3.943 3.943 1.670
3.943 -3.943 1.670
3.943 3.943 -1.670
Zr Cr
4 1
direct
0.086 0.269 0.355
0.269 0.914 0.184
0.731 0.086 0.816
0.914 0.731 0.645
0.500 0.500 0.000
```

Computed properties:
Its total moment is 0.00 μB/f.u. Its space group is I4/m. As for the crystal system: tetragonal.

*x*
Material: Zr4Cr
Method: DFT, PBE
State: optimized geometry

The structure in POSCAR format:
```
Zr4Cr
1.0
4.871 0.000 0.000
0.000 4.871 0.000
0.000 0.000 4.871
Zr Cr
4 1
direct
0.000 0.000 0.000
0.000 0.500 0.500
0.500 0.000 0.500
0.500 0.500 0.000
0.500 0.500 0.500
```

Computed properties:
Its total moment is 0.00 μB/f.u. Its space group is Pm-3m. As for the crystal system: cubic.

*y*
Material: Zr4Cr
Method: DFT, PBE
State: optimized geometry

The structure in POSCAR format:
```
Zr4Cr
1.0
0.000 4.877 4.877
4.877 0.000 4.877
4.877 4.877 0.000
Zr Cr
8 2
direct
0.203 0.766 0.766
0.234 0.234 0.234
0.234 0.234 0.797
0.234 0.797 0.234
0.766 0.203 0.766
0.766 0.766 0.203
0.766 0.766 0.766
0.797 0.234 0.234
0.375 0.375 0.375
0.625 0.625 0.625
```

Computed properties:
Its total moment is 0.58 μB/f.u. Its space group is Fd-3m. As for the crystal system: cubic.

*z*
Material: Zr4Cr
Method: DFT, PBE
State: optimized geometry

The structure in POSCAR format:
```
Zr4Cr
1.0
-3.084 3.084 3.084
3.084 -3.084 3.084
3.084 3.084 -3.084
Zr Cr
4 1
direct
0.000 0.000 0.500
0.000 0.500 0.000
0.500 0.000 0.000
0.500 0.500 0.500
0.000 0.000 0.000
```

Computed properties:
Its total moment is 0.38 μB/f.u. Its space group is Im-3m. As for the crystal system: cubic.

Most favorable structure: *w*. The second most favorable one is 403 meV per atom above it.

*w*
Material: Zr3Cr4
Method: DFT, PBE
State: optimized geometry

The structure in POSCAR format:
```
Zr3Cr4
1.0
-1.495 1.495 12.961
1.495 -1.495 12.961
1.495 1.495 -12.961
Zr Cr
3 4
direct
0.000 0.000 0.000
0.306 0.306 0.000
0.694 0.694 0.000
0.120 0.120 0.000
0.427 0.427 0.000
0.573 0.573 0.000
0.880 0.880 0.000
```

Computed properties:
Its total moment is 0.06 μB/f.u. Its space group is I4/mmm. As for the crystal system: tetragonal.

*x*
Material: Zr3Cr4
Method: DFT, PBE
State: optimized geometry

The structure in POSCAR format:
```
Zr3Cr4
1.0
5.823 0.000 0.000
-2.911 5.043 0.000
0.000 0.000 4.359
Zr Cr
3 4
direct
0.000 0.500 0.000
0.500 0.000 0.000
0.500 0.500 0.000
0.000 0.000 0.220
0.000 0.000 0.780
0.333 0.667 0.500
0.667 0.333 0.500
```

Computed properties:
Its total moment is 2.87 μB/f.u. Its space group is P6/mmm. As for the crystal system: hexagonal.

Most favorable structure: *w*. The second most favorable one is 614 meV per atom above it.

*w*
Material: ZrCr4
Method: DFT, PBE
State: optimized geometry

The structure in POSCAR format:
```
ZrCr4
1.0
-2.783 2.783 2.783
2.783 -2.783 2.783
2.783 2.783 -2.783
Zr Cr
1 4
direct
0.000 0.000 0.000
0.000 0.000 0.500
0.000 0.500 0.000
0.500 0.000 0.000
0.500 0.500 0.500
```

Computed properties:
Its total moment is 1.15 μB/f.u. Its space group is Im-3m. As for the crystal system: cubic.

*x*
Material: ZrCr4
Method: DFT, PBE
State: optimized geometry

The structure in POSCAR format:
```
ZrCr4
1.0
4.726 0.000 0.000
0.000 4.726 0.000
0.000 0.000 4.726
Zr Cr
1 4
direct
0.000 0.000 0.000
0.000 0.000 0.500
0.000 0.500 0.000
0.500 0.000 0.000
0.500 0.500 0.500
```

Computed properties:
Its total moment is 5.38 μB/f.u. Its space group is Pm-3m. As for the crystal system: cubic.

Most favorable structure: *x*. The second most favorable one is 229 meV per atom above it.

*w*
Material: CsCu4F8
Method: DFT, PBE
State: optimized geometry

The structure in POSCAR format:
```
CsCu4F8
1.0
6.054 -2.991 0.000
6.054 2.991 0.000
-3.812 0.000 6.914
Cs Cu F
1 4 8
direct
0.000 0.000 0.000
0.000 0.000 0.500
0.000 0.500 0.500
0.500 0.000 0.500
0.500 0.500 0.500
0.234 0.736 0.653
0.239 0.239 0.653
0.262 0.262 0.344
0.264 0.766 0.347
0.736 0.234 0.653
0.738 0.738 0.656
0.761 0.761 0.347
0.766 0.264 0.347
```

Computed properties:
Its total moment is 3.00 μB/f.u. Its space group is C2/m. As for the crystal system: monoclinic.

*x*
Material: CsCu4F8
Method: DFT, PBE
State: optimized geometry

The structure in POSCAR format:
```
CsCu4F8
1.0
0.000 4.749 4.749
4.749 0.000 4.749
4.749 4.749 0.000
Cs Cu F
1 4 8
direct
0.000 0.000 0.000
0.130 0.623 0.623
0.623 0.130 0.623
0.623 0.623 0.130
0.623 0.623 0.623
0.401 0.401 0.401
0.401 0.401 0.797
0.401 0.797 0.401
0.472 0.843 0.843
0.797 0.401 0.401
0.843 0.472 0.843
0.843 0.843 0.472
0.843 0.843 0.843
```

Computed properties:
Its total moment is 3.00 μB/f.u. Its space group is F-43m. As for the crystal system: cubic.

Most favorable structure: *w*. The second most favorable one is 146 meV per atom above it.